DFT (PBE-GGA) results for a geometry-optimized ZnGaCuMo structure.

a b c (Å): 4.327 4.327 4.327
angles (deg): 60.00 60.00 60.00
Fractional positions:
Zn: 0.500 0.500 0.500
Mo: 0.250 0.250 0.250
Ga: 0.000 0.000 0.000
Cu: 0.750 0.750 0.750

Calculated values
Total moment, μB/cell: 1.2
Uncorrected energy, eV per atom: -4.514
E above lowest polymorph, meV per atom: 0
Symmetry: F-43m, No. 216